1.
# NiGeRh3 (PBE, relaxed)
# - ΔE to the lowest computed polymorph (meV/atom) = 1215
data_NiGeRh3
_chemical_formula_sum 'Ni1 Ge1 Rh3'
_symmetry_space_group_name_H-M 'P m -3 m'
_symmetry_Int_Tables_number 221
_symmetry_space_group_name_Hall '-P 4 2 3'
_cell_length_a 4.462
_cell_length_b 4.462
_cell_length_c 4.462
_cell_angle_alpha 90.00
_cell_angle_beta 90.00
_cell_angle_gamma 90.00
loop_
_atom_site_label
_atom_site_type_symbol
_atom_site_fract_x
_atom_site_fract_y
_atom_site_fract_z
Ni1 Ni 0.000 0.000 0.000
Ge1 Ge 0.500 0.500 0.500
Rh1 Rh 0.000 0.000 0.500

2.
# NiGeRh3 (PBE, relaxed)
# - ΔE to the lowest computed polymorph (meV/atom) = 0
data_NiGeRh3
_chemical_formula_sum 'Ni4 Ge4 Rh12'
_symmetry_space_group_name_H-M 'C m c m'
_symmetry_Int_Tables_number 63
_symmetry_space_group_name_Hall '-C 2c 2'
_cell_length_a 3.969
_cell_length_b 17.306
_cell_length_c 3.947
_cell_angle_alpha 90.00
_cell_angle_beta 90.00
_cell_angle_gamma 90.00
loop_
_atom_site_label
_atom_site_type_symbol
_atom_site_fract_x
_atom_site_fract_y
_atom_site_fract_z
Ni1 Ni 0.000 0.151 0.250
Ge1 Ge 0.000 0.348 0.250
Rh1 Rh 0.000 0.054 0.750
Rh2 Rh 0.000 0.252 0.750
Rh3 Rh 0.000 0.443 0.750

3.
# Sm2Ni4Ge3Rh (PBE, relaxed)
# - E (eV/f.u.) = -59.9
data_Sm2Ni4Ge3Rh
_chemical_formula_sum 'Sm2 Ni4 Ge3 Rh1'
_symmetry_space_group_name_H-M 'P -4 m 2'
_symmetry_Int_Tables_number 115
_cell_length_a 4.050
_cell_length_b 4.050
_cell_length_c 10.077
_cell_angle_alpha 90.00
_cell_angle_beta 90.00
_cell_angle_gamma 90.00
loop_
_symmetry_equiv_pos_as_xyz
'x,y,z'
'y,-x,-z'
'-x,-y,z'
'-y,x,-z'
'-x,y,z'
'-y,-x,-z'
'x,-y,z'
'y,x,-z'
loop_
_atom_site_label
_atom_site_type_symbol
_atom_site_fract_x
_atom_site_fract_y
_atom_site_fract_z
Sm1 Sm 0.000 0.500 0.249
Ni1 Ni 0.000 0.000 0.500
Ni2 Ni 0.000 0.500 0.859
Ni3 Ni 0.500 0.500 0.500
Ge1 Ge 0.000 0.000 0.000
Ge2 Ge 0.000 0.500 0.626
Rh1 Rh 0.500 0.500 0.000

4.
# Sm2NiGe3Rh4 (PBE, relaxed)
# - E (eV/f.u.) = -66.3
data_Sm2NiGe3Rh4
_chemical_formula_sum 'Sm2 Ni1 Ge3 Rh4'
_symmetry_space_group_name_H-M 'P -4 m 2'
_symmetry_Int_Tables_number 115
_cell_length_a 4.182
_cell_length_b 4.182
_cell_length_c 10.234
_cell_angle_alpha 90.00
_cell_angle_beta 90.00
_cell_angle_gamma 90.00
loop_
_symmetry_equiv_pos_as_xyz
'x,y,z'
'y,-x,-z'
'-x,-y,z'
'-y,x,-z'
'-x,y,z'
'-y,-x,-z'
'x,-y,z'
'y,x,-z'
loop_
_atom_site_label
_atom_site_type_symbol
_atom_site_fract_x
_atom_site_fract_y
_atom_site_fract_z
Sm1 Sm 0.000 0.500 0.244
Ni1 Ni 0.500 0.500 0.000
Ge1 Ge 0.000 0.000 0.000
Ge2 Ge 0.000 0.500 0.631
Rh1 Rh 0.000 0.000 0.500
Rh2 Rh 0.000 0.500 0.869
Rh3 Rh 0.500 0.500 0.500

In states/eV per cell, the D(E_F) values for the records above are, in order, 9.85, 21.12, 9.65, 7.64.